Record 1
Na2TcMoO6: optimized geometry, PBE+U.

Computed properties:
The total energy comes out at -6.637 eV per atom.

```
Na2TcMoO6
1.0
5.527 0.000 0.000
0.000 5.527 0.000
0.000 0.000 3.892
Na Tc Mo O
2 1 1 6
direct
0.000 0.500 0.000
0.500 0.000 0.000
0.000 0.000 0.500
0.500 0.500 0.500
0.000 0.000 0.000
0.252 0.252 0.500
0.252 0.748 0.500
0.500 0.500 0.000
0.748 0.252 0.500
0.748 0.748 0.500
```

***

Record 2
Na2TcMo2O6: optimized geometry, PBE+U.

Computed properties:
The total energy comes out at -6.643 eV per atom.

```
Na2TcMo2O6
1.0
2.580 -4.586 0.000
2.580 4.586 0.000
-1.592 0.000 5.796
Na Tc Mo O
2 1 2 6
direct
0.169 0.831 0.000
0.831 0.169 0.000
0.000 0.000 0.500
0.355 0.645 0.500
0.645 0.355 0.500
0.039 0.385 0.694
0.244 0.244 0.266
0.385 0.039 0.694
0.615 0.961 0.306
0.756 0.756 0.734
0.961 0.615 0.306
```

***

no.,spin magnetization (μB per formula unit)
1,0.00
2,3.01